Entry from Alexandria: a relaxed K3Y2AlS6 crystal (PBE).

abc: 6.813 11.805 7.694
angles: 90.00 107.29 90.00
Space group C2/m (No. 12)
One atom of each set of equivalent atoms:
K (0.000, 0.000, 0.000) [2 per cell]
K (0.000, 0.329, 0.000) [4 per cell]
Y (0.000, 0.166, 0.500) [4 per cell]
Al (0.000, 0.500, 0.500) [2 per cell]
S (0.218, 0.346, 0.693) [8 per cell]
S (0.242, 0.500, 0.306) [4 per cell]

Values from the calculation:
Crystal system   monoclinic
E_form (uncorrected)   -1604 meV per atom
Density   2.89 g/cm³

***

Entry from Alexandria: a relaxed K4Y3AlS8 crystal (PBE).

abc: 7.9349 7.9349 22.0720
angles: 90.00 90.00 120.00
Space group R-3m (No. 166, hexagonal axes)
One atom of each set of equivalent atoms:
K (0.0000, 0.0000, 0.0000) [3 per cell]
K (0.0000, 0.5000, 0.0000) [9 per cell]
Y (0.0000, 0.5000, 0.5000) [9 per cell]
Al (0.0000, 0.0000, 0.5000) [3 per cell]
S (0.0000, 0.0000, 0.2349) [6 per cell]
S (0.0232, 0.5116, 0.2310) [18 per cell]

Values from the calculation:
Crystal system   trigonal
E_form (uncorrected)   -1664 meV per atom
Density   2.92 g/cm³

***

Entry from Alexandria: a relaxed KAlZn2S4 crystal (PBE).

abc: 6.139 6.139 9.729
angles: 90.00 90.00 90.00
Space group I-42m (No. 121)
One atom of each set of equivalent atoms:
K (0.000, 0.000, 0.000) [2 per cell]
Al (0.000, 0.000, 0.500) [2 per cell]
Zn (0.000, 0.500, 0.250) [4 per cell]
S (0.204, 0.204, 0.356) [8 per cell]

Values from the calculation:
Crystal system   tetragonal
E_form (uncorrected)   -909 meV per atom
Density   2.95 g/cm³

***

Entry from Alexandria: a relaxed KZrAlS4 crystal (PBE).

abc: 6.322 6.707 8.900
angles: 90.00 110.51 90.00
Space group P2_1/m (No. 11)
One atom of each set of equivalent atoms:
K (0.231, 0.250, 0.452) [2 per cell]
Zr (0.336, 0.750, 0.045) [2 per cell]
Al (0.100, 0.250, 0.845) [2 per cell]
S (0.089, 0.250, 0.090) [2 per cell]
S (0.258, 0.750, 0.314) [2 per cell]
S (0.327, 0.001, 0.811) [4 per cell]

Values from the calculation:
Crystal system   monoclinic
E_form (uncorrected)   -1330 meV per atom
Density   2.68 g/cm³

***

Entry from Alexandria: a relaxed K3Zr3AlS8 crystal (PBE).

abc: 7.4390 7.4390 22.6587
angles: 90.00 90.00 120.00
Space group R-3m (No. 166, hexagonal axes)
One atom of each set of equivalent atoms:
K (0.0000, 0.5000, 0.0000) [9 per cell]
Zr (0.0000, 0.5000, 0.5000) [9 per cell]
Al (0.0000, 0.0000, 0.5000) [3 per cell]
S (0.0000, 0.0000, 0.2336) [6 per cell]
S (0.0147, 0.5074, 0.2287) [18 per cell]

Values from the calculation:
Crystal system   trigonal
E_form (uncorrected)   -1438 meV per atom
Density   3.09 g/cm³

***

Entry from Alexandria: a relaxed K2AlSb2 crystal (PBE).

abc: 4.459 4.459 39.696
angles: 90.00 90.00 90.00
Space group I4_1/amd (No. 141, origin choice 2)
One atom of each set of equivalent atoms:
K (0.000, 0.250, 0.049) [8 per cell]
Al (0.000, 0.250, 0.875) [4 per cell]
Sb (0.000, 0.250, 0.165) [8 per cell]

Values from the calculation:
Energy relative to the lowest polymorph listed for this composition   54 meV per atom
Crystal system   tetragonal
E_form (uncorrected)   -218 meV per atom
Density   2.93 g/cm³

***

Entry from Alexandria: a relaxed KAlSb2 crystal (PBE).

abc: 4.484 5.052 9.787
angles: 90.00 90.00 90.00
Space group Immm (No. 71)
One atom of each set of equivalent atoms:
K (0.000, 0.000, 0.000) [2 per cell]
Al (0.000, 0.000, 0.500) [2 per cell]
Sb (0.000, 0.500, 0.237) [4 per cell]

Values from the calculation:
Crystal system   orthorhombic
E_form (uncorrected)   90 meV per atom
Density   4.64 g/cm³

***

Entry from Alexandria: a relaxed KAl2Sb crystal (PBE).

abc: 8.663 4.044 7.169
angles: 90.00 103.94 90.00
Space group Cm (No. 8)
One atom of each set of equivalent atoms:
K (0.000, 0.000, 0.000) [2 per cell]
Al (0.003, 0.500, 0.547) [2 per cell]
Al (0.228, 0.000, 0.638) [2 per cell]
Sb (0.270, 0.500, 0.362) [2 per cell]

Values from the calculation:
Crystal system   monoclinic
E_form (uncorrected)   -23 meV per atom
Density   2.93 g/cm³

***

Entry from Alexandria: a relaxed K2AlSb crystal (PBE).

abc: 3.6186 3.6186 35.1239
angles: 90.00 90.00 120.00
Space group R-3m (No. 166, hexagonal axes)
One atom of each set of equivalent atoms:
K (0.0000, 0.0000, 0.2483) [6 per cell]
Al (0.0000, 0.0000, 0.0000) [3 per cell]
Sb (0.0000, 0.0000, 0.5000) [3 per cell]

Values from the calculation:
Energy relative to the lowest polymorph listed for this composition   437 meV per atom
Crystal system   trigonal
E_form (uncorrected)   230 meV per atom
Density   2.84 g/cm³

***

Entry from Alexandria: a relaxed KAlSb2 crystal (PBE).

abc: 4.372 3.933 7.292
angles: 90.00 98.85 90.00
Space group P2/m (No. 10)
One atom of each set of equivalent atoms:
K (0.000, 0.000, 0.000) [1 per cell]
Al (0.000, 0.000, 0.500) [1 per cell]
Sb (0.424, 0.500, 0.680) [2 per cell]

Values from the calculation:
Crystal system   monoclinic
E_form (uncorrected)   -81 meV per atom
Density   4.15 g/cm³

***

Entry from Alexandria: a relaxed K2AlSb crystal (PBE).

abc: 4.740 4.740 24.224
angles: 90.00 90.00 90.00
Space group I-42d (No. 122)
One atom of each set of equivalent atoms:
K (0.248, 0.250, 0.125) [8 per cell]
Al (0.000, 0.000, 0.500) [4 per cell]
Sb (0.000, 0.000, 0.000) [4 per cell]

Values from the calculation:
Energy relative to the lowest polymorph listed for this composition   479 meV per atom
Crystal system   tetragonal
E_form (uncorrected)   272 meV per atom
Density   2.77 g/cm³

***

Entry from Alexandria: a relaxed K2AlSb crystal (PBE).

abc: 5.450 4.372 7.082
angles: 90.00 112.57 90.00
Space group Pm (No. 6)
One atom of each set of equivalent atoms:
K (0.000, 0.000, 0.000) [1 per cell]
K (0.299, 0.500, 0.599) [1 per cell]
Al (0.589, 0.500, 0.180) [1 per cell]
Sb (0.716, 0.000, 0.430) [1 per cell]

Values from the calculation:
Energy relative to the lowest polymorph listed for this composition   0 meV per atom
Crystal system   monoclinic
E_form (uncorrected)   -208 meV per atom
Density   2.42 g/cm³

***

Entry from Alexandria: a relaxed K2AlSb crystal (PBE).

abc: 3.948 3.948 10.180
angles: 90.00 90.00 90.00
Space group P4mm (No. 99)
One atom of each set of equivalent atoms:
K (0.000, 0.000, 0.000) [1 per cell]
K (0.500, 0.500, 0.418) [1 per cell]
Al (0.500, 0.500, 0.757) [1 per cell]
Sb (0.000, 0.000, 0.657) [1 per cell]

Values from the calculation:
Energy relative to the lowest polymorph listed for this composition   166 meV per atom
Crystal system   tetragonal
E_form (uncorrected)   -42 meV per atom
Density   2.38 g/cm³

***

Entry from Alexandria: a relaxed KAl2Sb crystal (PBE).

abc: 4.3642 4.3642 24.0071
angles: 90.00 90.00 120.00
Space group R-3m (No. 166, hexagonal axes)
One atom of each set of equivalent atoms:
K (0.0000, 0.0000, 0.0000) [3 per cell]
Al (0.0000, 0.0000, 0.2247) [6 per cell]
Sb (0.0000, 0.0000, 0.5000) [3 per cell]

Values from the calculation:
Crystal system   trigonal
E_form (uncorrected)   159 meV per atom
Density   2.70 g/cm³

***

Entry from Alexandria: a relaxed K2AlSb crystal (PBE).

abc: 8.190 8.190 8.190
angles: 90.00 90.00 90.00
Space group Fm-3m (No. 225)
One atom of each set of equivalent atoms:
K (0.250, 0.250, 0.250) [8 per cell]
Al (0.000, 0.000, 0.000) [4 per cell]
Sb (0.000, 0.000, 0.500) [4 per cell]

Values from the calculation:
Energy relative to the lowest polymorph listed for this composition   288 meV per atom
Crystal system   cubic
E_form (uncorrected)   80 meV per atom
Density   2.74 g/cm³

***

Entry from Alexandria: a relaxed K2AlSb2 crystal (PBE).

abc: 15.271 6.281 10.521
angles: 90.00 127.45 90.00
Space group C2/m (No. 12)
One atom of each set of equivalent atoms:
K (0.072, 0.000, 0.236) [4 per cell]
K (0.231, 0.000, 0.701) [4 per cell]
Al (0.098, 0.500, 0.687) [4 per cell]
Sb (0.114, 0.500, 0.447) [4 per cell]
Sb (0.222, 0.000, 0.015) [4 per cell]

Values from the calculation:
Energy relative to the lowest polymorph listed for this composition   0 meV per atom
Crystal system   monoclinic
E_form (uncorrected)   -272 meV per atom
Density   2.89 g/cm³

***

Entry from Alexandria: a relaxed KAl2Sb crystal (PBE).

abc: 6.585 11.386 3.022
angles: 90.00 115.99 90.00
Space group C2/m (No. 12)
One atom of each set of equivalent atoms:
K (0.000, 0.000, 0.000) [2 per cell]
Al (0.250, 0.250, 0.500) [4 per cell]
Sb (0.000, 0.500, 0.000) [2 per cell]

Values from the calculation:
Crystal system   monoclinic
E_form (uncorrected)   264 meV per atom
Density   3.50 g/cm³

***

Entry from Alexandria: a relaxed KAlSb2 crystal (PBE).

abc: 3.929 5.682 10.890
angles: 90.00 90.00 90.00
Space group Imm2 (No. 44)
One atom of each set of equivalent atoms:
K (0.000, 0.000, 0.000) [2 per cell]
Al (0.000, 0.500, 0.795) [2 per cell]
Sb (0.000, 0.000, 0.502) [2 per cell]
Sb (0.000, 0.500, 0.207) [2 per cell]

Values from the calculation:
Crystal system   orthorhombic
E_form (uncorrected)   107 meV per atom
Density   4.23 g/cm³

***

Entry from Alexandria: a relaxed KAl2Sb crystal (PBE).

abc: 3.818 3.818 7.837
angles: 90.00 90.00 90.00
Space group P4/mmm (No. 123)
One atom of each set of equivalent atoms:
K (0.000, 0.000, 0.000) [1 per cell]
Al (0.500, 0.500, 0.325) [2 per cell]
Sb (0.000, 0.000, 0.500) [1 per cell]

Values from the calculation:
Crystal system   tetragonal
E_form (uncorrected)   104 meV per atom
Density   3.12 g/cm³

***

Entry from Alexandria: a relaxed K2AlSb crystal (PBE).

abc: 3.283 5.554 6.889
angles: 90.00 90.74 90.00
Space group P2/m (No. 10)
One atom of each set of equivalent atoms:
K (0.000, 0.000, 0.241) [2 per cell]
Al (0.500, 0.500, 0.500) [1 per cell]
Sb (0.500, 0.500, 0.000) [1 per cell]

Values from the calculation:
Energy relative to the lowest polymorph listed for this composition   276 meV per atom
Crystal system   monoclinic
E_form (uncorrected)   69 meV per atom
Density   3.00 g/cm³